Entry 1:
K2BaMg | PBE | relaxed

Results
Energy of formation in meV/atom: 159
SG: I4/mmm
ΔE to the lowest computed polymorph in meV/atom: 94

a b c (Å): 7.862 7.862 7.862
angles (deg): 138.32 138.32 60.42
Fractional positions:
Ba: 0.750 0.250 0.500
K: 0.000 0.000 0.000
K: 0.500 0.500 0.000
Mg: 0.250 0.750 0.500



Entry 2:
MgBeAu2 | PBE | relaxed

Results
Energy of formation in meV/atom: -269
SG: Imm2
ΔE to the lowest computed polymorph in meV/atom: 73

a b c (Å): 5.147 5.147 5.147
angles (deg): 140.98 132.07 63.45
Fractional positions:
Be: 0.528 0.528 0.000
Mg: 0.263 0.763 0.500
Au: 0.989 0.989 0.000
Au: 0.720 0.220 0.500



Entry 3:
Pr2DyAl | PBE | relaxed

Results
Energy of formation in meV/atom: -54
SG: Fm-3m
ΔE to the lowest computed polymorph in meV/atom: 116

a b c (Å): 5.492 5.492 5.492
angles (deg): 60.00 60.00 60.00
Fractional positions:
Pr: 0.250 0.250 0.250
Pr: 0.750 0.750 0.750
Al: 0.500 0.500 0.500
Dy: 0.000 0.000 0.000



Entry 4:
Sm2YThSc | PBE | relaxed

Results
Energy of formation in meV/atom: 58
SG: P2_1/m

a b c (Å): 5.029 7.845 7.938
angles (deg): 90.20 90.00 90.00
Fractional positions:
Sm: 0.750 0.842 0.553
Sm: 0.750 0.655 0.951
Sm: 0.250 0.158 0.447
Sm: 0.250 0.345 0.049
Y: 0.250 0.751 0.255
Y: 0.750 0.249 0.745
Th: 0.250 0.944 0.853
Th: 0.750 0.056 0.147
Sc: 0.250 0.551 0.646
Sc: 0.750 0.449 0.354



Entry 5:
Y3PbO | PBE | relaxed

Results
SG: Fd-3m
Raw formation energy in eV/atom: -1.0430

a b c (Å): 9.077 9.077 9.077
angles (deg): 60.00 60.00 60.00
Fractional positions:
Pb: 0.625 0.625 0.625
Pb: 0.625 0.125 0.625
Pb: 0.125 0.625 0.625
Pb: 0.625 0.625 0.125
Y: 0.811 0.189 0.189
Y: 0.061 0.439 0.439
Y: 0.439 0.439 0.061
Y: 0.439 0.061 0.061
Y: 0.061 0.439 0.061
Y: 0.811 0.189 0.811
Y: 0.439 0.061 0.439
Y: 0.061 0.061 0.439
Y: 0.189 0.811 0.189
Y: 0.189 0.811 0.811
Y: 0.189 0.189 0.811
Y: 0.811 0.811 0.189
O: 0.125 0.125 0.125
O: 0.125 0.625 0.125
O: 0.625 0.125 0.125
O: 0.125 0.125 0.625



Entry 6:
CaTbGdHo | PBE | relaxed

Results
Energy of formation in meV/atom: 149
SG: F-43m

a b c (Å): 5.750 5.750 5.750
angles (deg): 60.00 60.00 60.00
Site moments in Bohr magnetons follow the coordinates.
Fractional positions:
Ca: 0.500 0.500 0.500  -0.01
Gd: 0.750 0.750 0.750  -7.21
Tb: 0.250 0.250 0.250  -0.05
Ho: 0.000 0.000 0.000  -0.08



Entry 7:
Ce3Si4Pt2 | PBE | relaxed

Results
SG: C2/m
ΔE to the lowest computed polymorph in meV/atom: 54
Raw formation energy in eV/atom: -0.9470

a b c (Å): 4.212 5.887 8.434
angles (deg): 111.47 90.00 110.96
Site moments in Bohr magnetons follow the coordinates.
Fractional positions:
Ce: 0.609 0.217 0.673  0.30
Ce: 0.000 0.000 0.000  0.43
Ce: 0.391 0.783 0.327  0.30
Si: 0.730 0.461 0.058  -0.01
Si: 0.270 0.539 0.942  -0.01
Si: 0.877 0.753 0.589  0.00
Si: 0.123 0.247 0.411  0.00
Pt: 0.671 0.342 0.305  -0.01
Pt: 0.329 0.658 0.695  -0.01



Entry 8:
NbIn2Au2 | PBE | relaxed

Results
Energy of formation in meV/atom: 109
SG: P4/mbm

a b c (Å): 7.785 7.785 3.338
angles (deg): 90.00 90.00 90.00
Fractional positions:
Nb: 0.000 0.000 0.000
Nb: 0.500 0.500 0.000
Au: 0.371 0.871 0.000
Au: 0.871 0.629 0.000
Au: 0.629 0.129 0.000
Au: 0.129 0.371 0.000
In: 0.174 0.674 0.500
In: 0.674 0.826 0.500
In: 0.826 0.326 0.500
In: 0.326 0.174 0.500



| no. | final energy (eV per atom) |
| --- | --- |
| 1 | -1.27 |
| 2 | -3.24 |
| 3 | -4.53 |
| 4 | -5.87 |
| 5 | -6.65 |
| 6 | -6.17 |
| 7 | -6.68 |
| 8 | -4.31 |